i) # PBE-GGA YZrSc2C, optimized geometry
data_YZrSc2C
_chemical_formula_sum 'Y1 Zr1 Sc2 C1'
_space_group_name_H-M_alt 'P 1'
_space_group_IT_number 1
_space_group_name_Hall 'P 1'
_cell_length_a 5.3348
_cell_length_b 4.3767
_cell_length_c 5.3348
_cell_angle_alpha 90.00
_cell_angle_beta 90.00
_cell_angle_gamma 90.00
loop_
_atom_site_label
_atom_site_type_symbol
_atom_site_fract_x
_atom_site_fract_y
_atom_site_fract_z
C1 C 0.0000 0.5000 0.0000
Sc1 Sc 0.0000 0.0000 0.5000
Sc2 Sc 0.5000 0.0000 0.0000
Zr1 Zr 0.0000 0.0000 0.0000
Y1 Y 0.5000 0.5000 0.5000
# Theoretical density: 3.76 g cm⁻³



ii) # PBE-GGA YZrSc2C, optimized geometry
data_YZrSc2C
_chemical_formula_sum 'Y1 Zr1 Sc2 C1'
_space_group_name_H-M_alt 'P 1'
_space_group_IT_number 1
_space_group_name_Hall 'P 1'
_cell_length_a 4.6765
_cell_length_b 4.6765
_cell_length_c 4.7878
_cell_angle_alpha 90.00
_cell_angle_beta 90.00
_cell_angle_gamma 90.00
loop_
_atom_site_label
_atom_site_type_symbol
_atom_site_fract_x
_atom_site_fract_y
_atom_site_fract_z
Zr1 Zr 0.0000 0.0000 0.5000
Y1 Y 0.5000 0.5000 0.5000
Sc1 Sc 0.0000 0.5000 0.0000
Sc2 Sc 0.5000 0.0000 0.0000
C1 C 0.0000 0.0000 0.0000
# Theoretical density: 4.47 g cm⁻³



Which one is most stable, and which one is least stable? ii) is the most stable of them, while i) is the least stable.



i) # PBE-GGA ZrSc3C, optimized geometry
data_ZrSc3C
_chemical_formula_sum 'Zr1 Sc3 C1'
_space_group_name_H-M_alt 'P 1'
_space_group_IT_number 1
_space_group_name_Hall 'P 1'
_cell_length_a 4.6345
_cell_length_b 4.6345
_cell_length_c 4.6345
_cell_angle_alpha 90.00
_cell_angle_beta 90.00
_cell_angle_gamma 90.00
loop_
_atom_site_label
_atom_site_type_symbol
_atom_site_fract_x
_atom_site_fract_y
_atom_site_fract_z
Zr1 Zr 0.5000 0.5000 0.5000
Sc1 Sc 0.5000 0.0000 0.0000
Sc2 Sc 0.0000 0.0000 0.5000
Sc3 Sc 0.0000 0.5000 0.0000
C1 C 0.0000 0.0000 0.0000
# Theoretical density: 3.97 g cm⁻³



ii) # PBE-GGA ZrSc3C, optimized geometry
data_ZrSc3C
_chemical_formula_sum 'Zr1 Sc3 C1'
_space_group_name_H-M_alt 'P 1'
_space_group_IT_number 1
_space_group_name_Hall 'P 1'
_cell_length_a 5.0383
_cell_length_b 5.0383
_cell_length_c 5.0383
_cell_angle_alpha 90.00
_cell_angle_beta 90.00
_cell_angle_gamma 90.00
loop_
_atom_site_label
_atom_site_type_symbol
_atom_site_fract_x
_atom_site_fract_y
_atom_site_fract_z
Sc1 Sc 0.0000 0.5000 0.0000
Sc2 Sc 0.0000 0.0000 0.5000
Sc3 Sc 0.5000 0.0000 0.0000
Zr1 Zr 0.0000 0.0000 0.0000
C1 C 0.5000 0.5000 0.5000
# Theoretical density: 3.09 g cm⁻³



Which one is most stable, and which one is least stable? i) is the most stable of them, while ii) is the least stable.



i) # PBE-GGA ZrScC2, optimized geometry
data_ZrScC2
_chemical_formula_sum 'Zr1 Sc1 C2'
_space_group_name_H-M_alt 'P 1'
_space_group_IT_number 1
_space_group_name_Hall 'P 1'
_cell_length_a 3.3048
_cell_length_b 3.3048
_cell_length_c 6.0095
_cell_angle_alpha 74.04
_cell_angle_beta 74.04
_cell_angle_gamma 60.00
loop_
_atom_site_label
_atom_site_type_symbol
_atom_site_fract_x
_atom_site_fract_y
_atom_site_fract_z
Zr1 Zr 0.6709 0.6709 0.9873
C1 C 0.0803 0.0803 0.7590
C2 C 0.2533 0.2533 0.2401
Sc1 Sc 0.4955 0.4955 0.5135
# Theoretical density: 4.94 g cm⁻³



ii) # PBE-GGA ZrScC2, optimized geometry
data_ZrScC2
_chemical_formula_sum 'Zr2 Sc2 C4'
_space_group_name_H-M_alt 'P 1'
_space_group_IT_number 1
_space_group_name_Hall 'P 1'
_cell_length_a 5.1059
_cell_length_b 5.1059
_cell_length_c 6.2170
_cell_angle_alpha 65.76
_cell_angle_beta 65.76
_cell_angle_gamma 90.00
loop_
_atom_site_label
_atom_site_type_symbol
_atom_site_fract_x
_atom_site_fract_y
_atom_site_fract_z
C1 C 0.1184 0.6250 0.2500
C2 C 0.6316 0.1250 0.2500
C3 C 0.8750 0.8816 0.7500
C4 C 0.3750 0.3684 0.7500
Sc1 Sc 0.2500 0.7500 0.5000
Sc2 Sc 0.5000 0.5000 0.0000
Zr1 Zr 0.0000 0.0000 0.0000
Zr2 Zr 0.7500 0.2500 0.5000
# Theoretical density: 4.03 g cm⁻³



Which one is most stable, and which one is least stable? i) is the most stable of them, while ii) is the least stable.